1.
A relaxed ErFeSnRu crystal, computed with PBE.

abc: 6.501 6.501 6.501
angles: 90.00 90.00 90.00
Element x y z (fractional)
Er 0.000 0.000 0.000
Er 0.000 0.500 0.500
Er 0.500 0.000 0.500
Er 0.500 0.500 0.000
Fe 0.250 0.250 0.750
Fe 0.250 0.750 0.250
Fe 0.750 0.250 0.250
Fe 0.750 0.750 0.750
Sn 0.000 0.000 0.500
Sn 0.000 0.500 0.000
Sn 0.500 0.000 0.000
Sn 0.500 0.500 0.500
Ru 0.250 0.250 0.250
Ru 0.250 0.750 0.750
Ru 0.750 0.250 0.750
Ru 0.750 0.750 0.250

Output
E_tot: -6.76 eV/atom
Crystal system: cubic
DFT formation energy: -0.185 eV per atom
Total magnetization: 0.226 μB/atom



2.
A relaxed ErTaFeRu crystal, computed with PBE.

abc: 6.424 6.424 6.424
angles: 90.00 90.00 90.00
Element x y z (fractional)
Er 0.000 0.000 0.000
Er 0.000 0.500 0.500
Er 0.500 0.000 0.500
Er 0.500 0.500 0.000
Ta 0.000 0.000 0.500
Ta 0.000 0.500 0.000
Ta 0.500 0.000 0.000
Ta 0.500 0.500 0.500
Fe 0.250 0.250 0.250
Fe 0.250 0.750 0.750
Fe 0.750 0.250 0.750
Fe 0.750 0.750 0.250
Ru 0.250 0.250 0.750
Ru 0.250 0.750 0.250
Ru 0.750 0.250 0.250
Ru 0.750 0.750 0.750

Output
E_tot: -8.71 eV/atom
Crystal system: cubic
DFT formation energy: -0.175 eV per atom
Total magnetization: 0.002 μB/atom



3.
A relaxed ErTmFeRu crystal, computed with PBE.

abc: 6.707 6.707 6.707
angles: 90.00 90.00 90.00
Element x y z (fractional)
Er 0.000 0.000 0.000
Er 0.000 0.500 0.500
Er 0.500 0.000 0.500
Er 0.500 0.500 0.000
Tm 0.000 0.000 0.500
Tm 0.000 0.500 0.000
Tm 0.500 0.000 0.000
Tm 0.500 0.500 0.500
Fe 0.250 0.250 0.250
Fe 0.250 0.750 0.750
Fe 0.750 0.250 0.750
Fe 0.750 0.750 0.250
Ru 0.250 0.250 0.750
Ru 0.250 0.750 0.250
Ru 0.750 0.250 0.250
Ru 0.750 0.750 0.750

Output
E_tot: -6.82 eV/atom
Crystal system: cubic
DFT formation energy: -0.127 eV per atom
Total magnetization: 0.352 μB/atom



4.
A relaxed ErZrFeRu crystal, computed with PBE.

abc: 6.559 6.559 6.559
angles: 90.00 90.00 90.00
Element x y z (fractional)
Er 0.000 0.000 0.000
Er 0.000 0.500 0.500
Er 0.500 0.000 0.500
Er 0.500 0.500 0.000
Zr 0.000 0.000 0.500
Zr 0.000 0.500 0.000
Zr 0.500 0.000 0.000
Zr 0.500 0.500 0.500
Fe 0.250 0.250 0.750
Fe 0.250 0.750 0.250
Fe 0.750 0.250 0.250
Fe 0.750 0.750 0.750
Ru 0.250 0.250 0.250
Ru 0.250 0.750 0.750
Ru 0.750 0.250 0.750
Ru 0.750 0.750 0.250

Output
E_tot: -7.97 eV/atom
Crystal system: cubic
DFT formation energy: -0.255 eV per atom
Total magnetization: 0.067 μB/atom



5.
A relaxed Er12Fe6Sb crystal, computed with PBE.

abc: 8.326 8.326 8.326
angles: 109.47 109.47 109.47
Element x y z (fractional)
Er 0.103 0.300 0.803
Er 0.197 0.497 0.300
Er 0.197 0.897 0.700
Er 0.300 0.197 0.497
Er 0.300 0.803 0.103
Er 0.497 0.300 0.197
Er 0.503 0.700 0.803
Er 0.700 0.197 0.897
Er 0.700 0.803 0.503
Er 0.803 0.103 0.300
Er 0.803 0.503 0.700
Er 0.897 0.700 0.197
Fe 0.110 0.500 0.610
Fe 0.390 0.890 0.500
Fe 0.500 0.390 0.890
Fe 0.500 0.610 0.110
Fe 0.610 0.110 0.500
Fe 0.890 0.500 0.390
Sb 0.000 0.000 0.000

Output
E_tot: -5.93 eV/atom
Crystal system: cubic
Total magnetization: 0.288 μB/atom
Formation energy (no corrections): -3.70 kcal/mol of atoms



6.
A relaxed Er6Fe2Sb crystal, computed with PBE.

abc: 8.325 8.325 8.325
angles: 110.78 110.64 107.02
Element x y z (fractional)
Er 0.015 0.232 0.782
Er 0.186 0.284 0.470
Er 0.186 0.716 0.902
Er 0.315 0.013 0.697
Er 0.315 0.618 0.303
Er 0.450 0.232 0.218
Er 0.550 0.768 0.782
Er 0.685 0.382 0.697
Er 0.685 0.987 0.303
Er 0.814 0.284 0.098
Er 0.814 0.716 0.530
Er 0.985 0.768 0.218
Fe 0.109 0.609 0.500
Fe 0.386 0.000 0.386
Fe 0.614 0.000 0.614
Fe 0.891 0.391 0.500
Sb 0.000 0.000 0.000
Sb 0.500 0.500 0.000

Output
E_tot: -5.67 eV/atom
Crystal system: orthorhombic
Total magnetization: 0.050 μB/atom
Formation energy (no corrections): -6.68 kcal/mol of atoms



7.
A relaxed Er8FeSb2 crystal, computed with PBE.

abc: 9.741 9.741 7.214
angles: 96.09 96.09 26.36
Element x y z (fractional)
Er 0.001 0.001 0.280
Er 0.216 0.216 0.842
Er 0.367 0.367 0.466
Er 0.406 0.406 0.986
Er 0.594 0.594 0.014
Er 0.633 0.633 0.534
Er 0.784 0.784 0.158
Er 0.999 0.999 0.720
Fe 0.500 0.500 0.500
Sb 0.180 0.180 0.269
Sb 0.820 0.820 0.731

Output
E_tot: -5.19 eV/atom
Crystal system: monoclinic
Total magnetization: 0.000 μB/atom
Formation energy (no corrections): -8.12 kcal/mol of atoms



8.
A relaxed Er12FeSb6 crystal, computed with PBE.

abc: 8.423 8.423 8.423
angles: 99.63 99.63 99.63
Element x y z (fractional)
Er 0.005 0.944 0.695
Er 0.056 0.305 0.995
Er 0.198 0.546 0.415
Er 0.305 0.995 0.056
Er 0.415 0.198 0.546
Er 0.454 0.585 0.802
Er 0.546 0.415 0.198
Er 0.585 0.802 0.454
Er 0.695 0.005 0.944
Er 0.802 0.454 0.585
Er 0.944 0.695 0.005
Er 0.995 0.056 0.305
Fe 0.000 0.000 0.000
Sb 0.119 0.316 0.647
Sb 0.316 0.647 0.119
Sb 0.353 0.881 0.684
Sb 0.647 0.119 0.316
Sb 0.684 0.353 0.881
Sb 0.881 0.684 0.353

Output
E_tot: -5.21 eV/atom
Crystal system: trigonal
Total magnetization: 0.000 μB/atom
Formation energy (no corrections): -13.36 kcal/mol of atoms